Entry 1:
Below is a crystal of CuTe3Rh relaxed with PBEsol, with properties calculated at the SCAN level.

Geometry as POSCAR:
```
CuTe3Rh
1.0
5.131 0.000 0.000
0.000 5.131 0.000
0.000 0.000 5.131
Cu Te Rh
1 3 1
direct
0.000 0.000 0.000
0.000 0.500 0.500
0.500 0.000 0.500
0.500 0.500 0.000
0.500 0.500 0.500
```

The uncorrected formation energy comes out at 679 meV/atom. As for the density: 6.8 Mg/m³. Its density of states at the Fermi level is 6.460 states/eV per cell.


Entry 2:
Below is a crystal of BaSr2Sn2 relaxed with PBEsol, with properties calculated at the SCAN level.

Geometry as POSCAR:
```
BaSr2Sn2
1.0
-2.994 2.994 5.804
2.994 -2.994 5.804
2.994 2.994 -5.804
Ba Sr Sn
1 2 2
direct
0.000 0.000 0.000
0.341 0.341 0.000
0.659 0.659 0.000
0.250 0.750 0.500
0.750 0.250 0.500
```

As for the density: 4.4 Mg/m³. The calculation puts the formation enthalpy at 0 K at -0.354 eV/atom. Its density of states at the Fermi level is 2.164 states/eV per cell.